## w
A plane-wave DFT calculation with PBE-GGA was carried out for crystalline Rb2Ba2Hg at its relaxed geometry.

As for the density of states at the Fermi level: 0.767 states/eV per atom.

The structure belongs to space group P4/mbm (No. 127); the cell edges are 9.132, 9.132 and 7.366 Å and the angles 90.00°, 90.00° and 90.00°. The inequivalent atoms are Rb at (0.151, 0.349, 0.000), Ba at (0.180, 0.680, 0.500) and Hg at (0.000, 0.000, 0.000).

## x
A plane-wave DFT calculation with PBE-GGA was carried out for crystalline Rb2Ba2Hg at its relaxed geometry.

As for the density of states at the Fermi level: 0.631 states/eV per atom.

The structure belongs to space group P4/mbm (No. 127); the cell edges are 9.110, 9.110 and 7.891 Å and the angles 90.00°, 90.00° and 90.00°. The inequivalent atoms are Rb at (0.175, 0.325, 0.000), Ba at (0.171, 0.671, 0.500) and Hg at (0.000, 0.000, 0.500).

Q: What are the energies relative to the best structure? A: w 0.137; x 0.000, in eV/atom.

## w
A plane-wave DFT calculation with PBE-GGA was carried out for crystalline Rb2BaHg2 at its relaxed geometry.

As for the density of states at the Fermi level: 1.619 states/eV per atom.

The structure belongs to space group P4/mbm (No. 127); the cell edges are 10.219, 10.219 and 4.203 Å and the angles 90.00°, 90.00° and 90.00°. The inequivalent atoms are Rb at (0.124, 0.376, 0.000), Ba at (0.000, 0.000, 0.000) and Hg at (0.180, 0.680, 0.500).

## x
A plane-wave DFT calculation with PBE-GGA was carried out for crystalline Rb2BaHg2 at its relaxed geometry.

As for the density of states at the Fermi level: 1.606 states/eV per atom.

The structure belongs to space group I4/mmm (No. 139); the cell edges are 6.444, 6.444 and 12.236 Å and the angles 90.00°, 90.00° and 90.00°. The inequivalent atoms are Rb at (0.000, 0.000, 0.145), Ba at (0.000, 0.000, 0.500) and Hg at (0.000, 0.500, 0.250).

## y
A plane-wave DFT calculation with PBE-GGA was carried out for crystalline Rb2BaHg2 at its relaxed geometry.

As for the density of states at the Fermi level: 0.385 states/eV per atom.

The structure belongs to space group P4/mbm (No. 127); the cell edges are 8.975, 8.975 and 5.929 Å and the angles 90.00°, 90.00° and 90.00°. The inequivalent atoms are Rb at (0.168, 0.332, 0.000), Ba at (0.000, 0.000, 0.500) and Hg at (0.121, 0.621, 0.500).

Q: What are the energies relative to the best structure? A: w 0.135; x 0.189; y 0.000, in eV/atom.

## w
A plane-wave DFT calculation with PBE-GGA was carried out for crystalline RbBaHg at its relaxed geometry.

As for the density of states at the Fermi level: 1.035 states/eV per atom.

The structure belongs to space group P3m1 (No. 156); the cell edges are 4.8613, 4.8613 and 8.5997 Å and the angles 90.00°, 90.00° and 120.00°. The inequivalent atoms are Rb at (0.0000, 0.0000, 0.0000), Ba at (0.6667, 0.3333, 0.5074) and Hg at (0.3333, 0.6667, 0.2842).

## x
A plane-wave DFT calculation with PBE-GGA was carried out for crystalline RbBaHg at its relaxed geometry.

As for the density of states at the Fermi level: 0.891 states/eV per atom.

The structure belongs to space group Cmcm (No. 63); the cell edges are 4.629, 26.570 and 5.283 Å and the angles 90.00°, 90.00° and 90.00°. The inequivalent atoms are Rb at (0.000, 0.185, 0.250), Ba at (0.000, 0.436, 0.250) and Hg at (0.000, 0.039, 0.250).

## y
A plane-wave DFT calculation with PBE-GGA was carried out for crystalline RbBaHg at its relaxed geometry.

As for the density of states at the Fermi level: 1.109 states/eV per atom.

The structure belongs to space group I4mm (No. 107); the cell edges are 4.371, 4.371 and 16.102 Å and the angles 90.00°, 90.00° and 90.00°. The inequivalent atoms are Rb at (0.000, 0.000, 0.000), Ba at (0.000, 0.000, 0.258) and Hg at (0.000, 0.000, 0.654).

Q: What are the energies relative to the best structure? A: w 0.127; x 0.000; y 0.068, in eV/atom.

## w
A plane-wave DFT calculation with PBE-GGA was carried out for crystalline Rb3BaHg at its relaxed geometry.

As for the density of states at the Fermi level: 0.837 states/eV per atom.

The structure belongs to space group Pm-3m (No. 221); the cell edges are 8.795, 8.795 and 8.795 Å and the angles 90.00°, 90.00° and 90.00°. The inequivalent atoms are Rb at (0.000, 0.000, 0.500), Ba at (0.000, 0.000, 0.000) and Hg at (0.500, 0.500, 0.500).

## x
A plane-wave DFT calculation with PBE-GGA was carried out for crystalline Rb3BaHg at its relaxed geometry.

As for the density of states at the Fermi level: 0.716 states/eV per atom.

The structure belongs to space group Pm-3m (No. 221); the cell edges are 7.116, 7.116 and 7.116 Å and the angles 90.00°, 90.00° and 90.00°. The inequivalent atoms are Rb at (0.000, 0.000, 0.500), Ba at (0.500, 0.500, 0.500) and Hg at (0.000, 0.000, 0.000).

Q: What are the energies relative to the best structure? A: w 0.378; x 0.000, in eV/atom.

## w
A plane-wave DFT calculation with PBE-GGA was carried out for crystalline RbBaSr2Hg at its relaxed geometry.

As for the density of states at the Fermi level: 0.917 states/eV per atom.

The structure belongs to space group P4/mmm (No. 123); the cell edges are 6.458, 6.458 and 6.917 Å and the angles 90.00°, 90.00° and 90.00°. The inequivalent atoms are Rb at (0.000, 0.000, 0.000), Ba at (0.500, 0.500, 0.000), Sr at (0.000, 0.500, 0.500) and Hg at (0.000, 0.000, 0.500).

## x
A plane-wave DFT calculation with PBE-GGA was carried out for crystalline RbBaSr2Hg at its relaxed geometry.

As for the density of states at the Fermi level: 0.962 states/eV per atom.

The structure belongs to space group P4/mmm (No. 123); the cell edges are 6.549, 6.549 and 6.706 Å and the angles 90.00°, 90.00° and 90.00°. The inequivalent atoms are Rb at (0.000, 0.000, 0.000), Ba at (0.500, 0.500, 0.000), Sr at (0.000, 0.500, 0.500) and Hg at (0.500, 0.500, 0.500).

Q: What are the energies relative to the best structure? A: w 0.087; x 0.000, in eV/atom.

## w
A plane-wave DFT calculation with PBE-GGA was carried out for crystalline BaRe3Hg at its relaxed geometry.

As for the density of states at the Fermi level: 1.304 states/eV per atom.

The structure belongs to space group Pm-3m (No. 221); the cell edges are 5.059, 5.059 and 5.059 Å and the angles 90.00°, 90.00° and 90.00°. The inequivalent atoms are Ba at (0.000, 0.000, 0.000), Re at (0.000, 0.000, 0.500) and Hg at (0.500, 0.500, 0.500).

## x
A plane-wave DFT calculation with PBE-GGA was carried out for crystalline BaRe3Hg at its relaxed geometry.

As for the density of states at the Fermi level: 2.148 states/eV per atom.

The structure belongs to space group Pm-3m (No. 221); the cell edges are 5.115, 5.115 and 5.115 Å and the angles 90.00°, 90.00° and 90.00°. The inequivalent atoms are Ba at (0.000, 0.000, 0.000), Re at (0.000, 0.500, 0.500) and Hg at (0.500, 0.500, 0.500).

Q: What are the energies relative to the best structure? A: w 1.132; x 0.000, in eV/atom.

## w
A plane-wave DFT calculation with PBE-GGA was carried out for crystalline BaReHg at its relaxed geometry.

As for the density of states at the Fermi level: 0.564 states/eV per atom.

The structure belongs to space group F-43m (No. 216); the cell edges are 7.585, 7.585 and 7.585 Å and the angles 90.00°, 90.00° and 90.00°. The inequivalent atoms are Ba at (0.000, 0.000, 0.000), Re at (0.250, 0.250, 0.750) and Hg at (0.250, 0.250, 0.250).

## x
A plane-wave DFT calculation with PBE-GGA was carried out for crystalline BaReHg at its relaxed geometry.

As for the density of states at the Fermi level: 1.237 states/eV per atom.

The structure belongs to space group P-6m2 (No. 187); the cell edges are 5.3020, 5.3020 and 3.0624 Å and the angles 90.00°, 90.00° and 120.00°. The inequivalent atoms are Ba at (0.0000, 0.0000, 0.0000), Re at (0.3333, 0.6667, 0.5000) and Hg at (0.6667, 0.3333, 0.5000).

## y
A plane-wave DFT calculation with PBE-GGA was carried out for crystalline BaReHg at its relaxed geometry.

As for the density of states at the Fermi level: 0.471 states/eV per atom.

The structure belongs to space group F-43m (No. 216); the cell edges are 7.214, 7.214 and 7.214 Å and the angles 90.00°, 90.00° and 90.00°. The inequivalent atoms are Ba at (0.000, 0.000, 0.000), Re at (0.250, 0.250, 0.750) and Hg at (0.000, 0.000, 0.500).

## z
A plane-wave DFT calculation with PBE-GGA was carried out for crystalline BaReHg at its relaxed geometry.

As for the density of states at the Fermi level: 1.443 states/eV per atom.

The structure belongs to space group P3m1 (No. 156); the cell edges are 3.1275, 3.1275 and 8.3565 Å and the angles 90.00°, 90.00° and 120.00°. The inequivalent atoms are Ba at (0.0000, 0.0000, 0.0000), Re at (0.3333, 0.6667, 0.6587) and Hg at (0.6667, 0.3333, 0.3753).

Q: What are the energies relative to the best structure? A: w 0.601; x 0.000; y 0.164; z 0.146, in eV/atom.

## w
A plane-wave DFT calculation with PBE-GGA was carried out for crystalline BaHg3Rh at its relaxed geometry.

As for the density of states at the Fermi level: 0.611 states/eV per atom.

The structure belongs to space group Imma (No. 74); the cell edges are 7.499, 10.577 and 7.485 Å and the angles 90.00°, 90.00° and 90.00°. The inequivalent atoms are Ba at (0.000, 0.250, 0.018), Hg at (0.000, 0.250, 0.515), Hg at (0.250, 0.006, 0.750) and Rh at (0.000, 0.000, 0.500).

## x
A plane-wave DFT calculation with PBE-GGA was carried out for crystalline BaHg3Rh at its relaxed geometry.

As for the density of states at the Fermi level: 4.964 states/eV per atom.

The structure belongs to space group Pm-3m (No. 221); the cell edges are 6.264, 6.264 and 6.264 Å and the angles 90.00°, 90.00° and 90.00°. The inequivalent atoms are Ba at (0.000, 0.000, 0.000), Hg at (0.000, 0.000, 0.500) and Rh at (0.500, 0.500, 0.500).

Q: What are the energies relative to the best structure? A: w 0.000; x 1.397, in eV/atom.

## w
A plane-wave DFT calculation with PBE-GGA was carried out for crystalline BaHg2Rh2 at its relaxed geometry.

As for the density of states at the Fermi level: 0.492 states/eV per atom.

The structure belongs to space group I4/mmm (No. 139); the cell edges are 4.850, 4.850 and 10.560 Å and the angles 90.00°, 90.00° and 90.00°. The inequivalent atoms are Ba at (0.000, 0.000, 0.000), Hg at (0.000, 0.000, 0.365) and Rh at (0.000, 0.500, 0.250).

## x
A plane-wave DFT calculation with PBE-GGA was carried out for crystalline BaHg2Rh2 at its relaxed geometry.

As for the density of states at the Fermi level: 0.714 states/eV per atom.

The structure belongs to space group P4/mbm (No. 127); the cell edges are 8.000, 8.000 and 3.374 Å and the angles 90.00°, 90.00° and 90.00°. The inequivalent atoms are Ba at (0.000, 0.000, 0.000), Hg at (0.158, 0.342, 0.500) and Rh at (0.132, 0.632, 0.000).

## y
A plane-wave DFT calculation with PBE-GGA was carried out for crystalline BaHg2Rh2 at its relaxed geometry.

As for the density of states at the Fermi level: 0.755 states/eV per atom.

The structure belongs to space group I4/mmm (No. 139); the cell edges are 4.697, 4.697 and 10.992 Å and the angles 90.00°, 90.00° and 90.00°. The inequivalent atoms are Ba at (0.000, 0.000, 0.000), Hg at (0.000, 0.500, 0.250) and Rh at (0.000, 0.000, 0.388).

## z
A plane-wave DFT calculation with PBE-GGA was carried out for crystalline BaHg2Rh2 at its relaxed geometry.

As for the density of states at the Fermi level: 0.457 states/eV per atom.

The structure belongs to space group P4/mbm (No. 127); the cell edges are 8.254, 8.254 and 3.192 Å and the angles 90.00°, 90.00° and 90.00°. The inequivalent atoms are Ba at (0.000, 0.000, 0.000), Hg at (0.130, 0.370, 0.000) and Rh at (0.166, 0.666, 0.500).

Q: What are the energies relative to the best structure? A: w 0.083; x 0.073; y 0.000; z 0.160, in eV/atom.

## w
A plane-wave DFT calculation with PBE-GGA was carried out for crystalline Ba8Hg2Rh at its relaxed geometry.

As for the density of states at the Fermi level: 1.334 states/eV per atom.

The structure belongs to space group C2/m (No. 12); the cell edges are 21.187, 6.018 and 7.930 Å and the angles 90.00°, 105.37° and 90.00°. The inequivalent atoms are Ba at (0.033, 0.000, 0.307), Ba at (0.086, 0.500, 0.897), Ba at (0.152, 0.500, 0.456), Ba at (0.213, 0.000, 0.816), Hg at (0.191, 0.000, 0.233) and Rh at (0.000, 0.500, 0.500).

## x
A plane-wave DFT calculation with PBE-GGA was carried out for crystalline Ba8Hg2Rh at its relaxed geometry.

As for the density of states at the Fermi level: 1.123 states/eV per atom.

The structure belongs to space group C2/m (No. 12); the cell edges are 14.417, 10.527 and 7.912 Å and the angles 90.00°, 108.92° and 90.00°. The inequivalent atoms are Ba at (0.080, 0.000, 0.280), Ba at (0.128, 0.500, 0.253), Ba at (0.141, 0.301, 0.737), Hg at (0.181, 0.000, 0.939) and Rh at (0.000, 0.500, 0.500).

Q: What are the energies relative to the best structure? A: w 0.049; x 0.000, in eV/atom.